# 1
# TbDy5Y12 PBE relaxed
# DOS at the Fermi energy: 26.3 states/eV/cell
# Energy relative to the elements: 0.023 eV per atom
data_TbDy5Y12
_chemical_formula_sum 'Tb1 Dy5 Y12'
_symmetry_space_group_name_H-M 'P 1 2/m 1'
_symmetry_Int_Tables_number 10
_cell_length_a 10.6838
_cell_length_b 5.0355
_cell_length_c 10.6940
_cell_angle_alpha 90.00
_cell_angle_beta 90.13
_cell_angle_gamma 90.00
loop_
_symmetry_equiv_pos_as_xyz
'x,y,z'
'-x,-y,-z'
'-x,y,-z'
'x,-y,z'
loop_
_atom_site_label
_atom_site_type_symbol
_atom_site_fract_x
_atom_site_fract_y
_atom_site_fract_z
Tb1 Tb 0.0000 0.0000 0.0000
Dy1 Dy 0.1667 0.5000 0.8333
Dy2 Dy 0.3332 0.0000 0.6667
Dy3 Dy 0.5000 0.5000 0.5000
Y1 Y 0.0008 0.0000 0.6674
Y2 Y 0.1660 0.5000 0.1660
Y3 Y 0.1677 0.5000 0.5010
Y4 Y 0.3326 0.0000 0.9992
Y5 Y 0.3344 0.0000 0.3344
Y6 Y 0.4990 0.5000 0.8323

***

# 2
# TbDyY6 PBE relaxed
# DOS at the Fermi energy: 23.0 states/eV/cell
# Energy relative to the lowest polymorph listed for this composition: 0 meV per atom
# Energy relative to the elements: 0.022 eV per atom
data_TbDyY6
_chemical_formula_sum 'Tb2 Dy2 Y12'
_symmetry_space_group_name_H-M 'C 1 2/m 1'
_symmetry_Int_Tables_number 12
_cell_length_a 11.2815
_cell_length_b 5.0401
_cell_length_c 10.0763
_cell_angle_alpha 90.00
_cell_angle_beta 116.55
_cell_angle_gamma 90.00
loop_
_symmetry_equiv_pos_as_xyz
'x,y,z'
'-x,-y,-z'
'-x,y,-z'
'x,-y,z'
'x+1/2,y+1/2,z'
'-x+1/2,-y+1/2,-z'
'-x+1/2,y+1/2,-z'
'x+1/2,-y+1/2,z'
loop_
_atom_site_label
_atom_site_type_symbol
_atom_site_fract_x
_atom_site_fract_y
_atom_site_fract_z
Tb1 Tb 0.0000 0.0000 0.0000
Dy1 Dy 0.0000 0.0000 0.5000
Y1 Y 0.0001 0.5000 0.2502
Y2 Y 0.2501 0.0000 0.3752
Y3 Y 0.2499 0.0000 0.8748

***

# 3
# TbDy9Y2 PBE relaxed
# DOS at the Fermi energy: 18.1 states/eV/cell
# Energy relative to the lowest polymorph listed for this composition: 0 meV per atom
# Energy relative to the elements: 0.021 eV per atom
data_TbDy9Y2
_chemical_formula_sum 'Tb1 Dy9 Y2'
_symmetry_space_group_name_H-M 'P 4/m m m'
_symmetry_Int_Tables_number 123
_symmetry_space_group_name_Hall '-P 4 2'
_cell_length_a 5.0210
_cell_length_b 5.0210
_cell_length_c 15.0642
_cell_angle_alpha 90.00
_cell_angle_beta 90.00
_cell_angle_gamma 90.00
loop_
_atom_site_label
_atom_site_type_symbol
_atom_site_fract_x
_atom_site_fract_y
_atom_site_fract_z
Tb1 Tb 0.0000 0.0000 0.0000
Dy1 Dy 0.0000 0.5000 0.1662
Dy2 Dy 0.0000 0.5000 0.5000
Dy3 Dy 0.5000 0.5000 0.0000
Dy4 Dy 0.5000 0.5000 0.3333
Y1 Y 0.0000 0.0000 0.3332

***

# 4
# Tb6Dy2Y PBE relaxed
# DOS at the Fermi energy: 53.7 states/eV/cell
# Energy relative to the lowest polymorph listed for this composition: 218 meV per atom
# Energy relative to the elements: 0.234 eV per atom
data_Tb6Dy2Y
_chemical_formula_sum 'Tb24 Dy8 Y4'
_symmetry_space_group_name_H-M 'C 1 2/c 1'
_symmetry_Int_Tables_number 15
_cell_length_a 13.3543
_cell_length_b 14.5305
_cell_length_c 6.2412
_cell_angle_alpha 90.00
_cell_angle_beta 105.19
_cell_angle_gamma 90.00
loop_
_symmetry_equiv_pos_as_xyz
'x,y,z'
'-x,-y,-z'
'-x,y,-z+1/2'
'x,-y,z+1/2'
'x+1/2,y+1/2,z'
'-x+1/2,-y+1/2,-z'
'-x+1/2,y+1/2,-z+1/2'
'x+1/2,-y+1/2,z+1/2'
loop_
_atom_site_label
_atom_site_type_symbol
_atom_site_fract_x
_atom_site_fract_y
_atom_site_fract_z
Tb1 Tb 0.0573 0.1221 0.0156
Tb2 Tb 0.1075 0.4571 0.9539
Tb3 Tb 0.2034 0.2829 0.7287
Dy1 Dy 0.1954 0.0684 0.5921
Y1 Y 0.0000 0.3212 0.2500

***

# 5
# Tb12Dy2Y5 PBE relaxed
# DOS at the Fermi energy: 58.5 states/eV/cell
# Energy relative to the lowest polymorph listed for this composition: 103 meV per atom
# Energy relative to the elements: 0.122 eV per atom
data_Tb12Dy2Y5
_chemical_formula_sum 'Tb24 Dy4 Y10'
_symmetry_space_group_name_H-M 'C 1 2/m 1'
_symmetry_Int_Tables_number 12
_cell_length_a 15.8537
_cell_length_b 9.1535
_cell_length_c 8.5747
_cell_angle_alpha 90.00
_cell_angle_beta 91.36
_cell_angle_gamma 90.00
loop_
_symmetry_equiv_pos_as_xyz
'x,y,z'
'-x,-y,-z'
'-x,y,-z'
'x,-y,z'
'x+1/2,y+1/2,z'
'-x+1/2,-y+1/2,-z'
'-x+1/2,y+1/2,-z'
'x+1/2,-y+1/2,z'
loop_
_atom_site_label
_atom_site_type_symbol
_atom_site_fract_x
_atom_site_fract_y
_atom_site_fract_z
Tb1 Tb 0.0577 0.0000 0.3375
Tb2 Tb 0.0897 0.5000 0.8855
Tb3 Tb 0.1267 0.1939 0.6659
Tb4 Tb 0.1533 0.3181 0.2421
Dy1 Dy 0.0000 0.1771 0.0000
Y1 Y 0.0000 0.5000 0.5000
Y2 Y 0.1995 0.0000 0.0136
Y3 Y 0.2326 0.5000 0.5714

***

# 6
# Tb4Dy2Y5 PBE relaxed
# DOS at the Fermi energy: 17.9 states/eV/cell
# Energy relative to the lowest polymorph listed for this composition: 0 meV per atom
# Energy relative to the elements: 0.037 eV per atom
data_Tb4Dy2Y5
_chemical_formula_sum 'Tb4 Dy2 Y5'
_symmetry_space_group_name_H-M 'P -1'
_symmetry_Int_Tables_number 2
_cell_length_a 3.5486
_cell_length_b 8.5888
_cell_length_c 12.0468
_cell_angle_alpha 90.83
_cell_angle_beta 98.43
_cell_angle_gamma 101.90
loop_
_symmetry_equiv_pos_as_xyz
'x,y,z'
'-x,-y,-z'
loop_
_atom_site_label
_atom_site_type_symbol
_atom_site_fract_x
_atom_site_fract_y
_atom_site_fract_z
Tb1 Tb 0.1104 0.0630 0.1558
Tb2 Tb 0.2103 0.8520 0.5681
Dy1 Dy 0.4484 0.2134 0.6853
Y1 Y 0.1608 0.5580 0.7657
Y2 Y 0.3665 0.6903 0.0424
Y3 Y 0.5000 0.5000 0.5000

***

# 7
# Tb2Dy12Y5 PBE relaxed
# DOS at the Fermi energy: 59.0 states/eV/cell
# Energy relative to the lowest polymorph listed for this composition: 104 meV per atom
# Energy relative to the elements: 0.124 eV per atom
data_Tb2Dy12Y5
_chemical_formula_sum 'Tb4 Dy24 Y10'
_symmetry_space_group_name_H-M 'C 1 2/m 1'
_symmetry_Int_Tables_number 12
_cell_length_a 15.8111
_cell_length_b 9.1583
_cell_length_c 8.5356
_cell_angle_alpha 90.00
_cell_angle_beta 91.36
_cell_angle_gamma 90.00
loop_
_symmetry_equiv_pos_as_xyz
'x,y,z'
'-x,-y,-z'
'-x,y,-z'
'x,-y,z'
'x+1/2,y+1/2,z'
'-x+1/2,-y+1/2,-z'
'-x+1/2,y+1/2,-z'
'x+1/2,-y+1/2,z'
loop_
_atom_site_label
_atom_site_type_symbol
_atom_site_fract_x
_atom_site_fract_y
_atom_site_fract_z
Tb1 Tb 0.0000 0.1780 0.0000
Dy1 Dy 0.0572 0.0000 0.3357
Dy2 Dy 0.0898 0.5000 0.8849
Dy3 Dy 0.1268 0.1933 0.6628
Dy4 Dy 0.1537 0.3183 0.2428
Y1 Y 0.0000 0.5000 0.5000
Y2 Y 0.1995 0.0000 0.0118
Y3 Y 0.2328 0.5000 0.5729

***

# 8
# TbDy7Y2 PBE relaxed
# DOS at the Fermi energy: 25.9 states/eV/cell
# Energy relative to the lowest polymorph listed for this composition: 495 meV per atom
# Energy relative to the elements: 0.698 eV per atom
data_TbDy7Y2
_chemical_formula_sum 'Tb2 Dy14 Y4'
_symmetry_space_group_name_H-M 'C m m m'
_symmetry_Int_Tables_number 65
_symmetry_space_group_name_Hall '-C 2 2'
_cell_length_a 8.5684
_cell_length_b 17.5936
_cell_length_c 5.1250
_cell_angle_alpha 90.00
_cell_angle_beta 90.00
_cell_angle_gamma 90.00
loop_
_atom_site_label
_atom_site_type_symbol
_atom_site_fract_x
_atom_site_fract_y
_atom_site_fract_z
Tb1 Tb 0.0000 0.0000 0.0000
Dy1 Dy 0.0000 0.1927 0.0000
Dy2 Dy 0.0000 0.5000 0.5000
Dy3 Dy 0.1804 0.1057 0.5000
Y1 Y 0.0000 0.2963 0.5000

***

# 9
# Tb2Dy2Y PBE relaxed
# DOS at the Fermi energy: 8.9 states/eV/cell
# Energy relative to the lowest polymorph listed for this composition: 0 meV per atom
# Energy relative to the elements: 0.080 eV per atom
data_Tb2Dy2Y
_chemical_formula_sum 'Tb4 Dy4 Y2'
_symmetry_space_group_name_H-M 'P 4/m b m'
_symmetry_Int_Tables_number 127
_symmetry_space_group_name_Hall '-P 4 2ab'
_cell_length_a 9.3436
_cell_length_b 9.3436
_cell_length_c 3.6933
_cell_angle_alpha 90.00
_cell_angle_beta 90.00
_cell_angle_gamma 90.00
loop_
_atom_site_label
_atom_site_type_symbol
_atom_site_fract_x
_atom_site_fract_y
_atom_site_fract_z
Tb1 Tb 0.1718 0.3282 0.0000
Dy1 Dy 0.1266 0.6266 0.5000
Y1 Y 0.0000 0.0000 0.5000

***

# 10
# Tb12Dy2Y5 PBE relaxed
# DOS at the Fermi energy: 26.8 states/eV/cell
# Energy relative to the lowest polymorph listed for this composition: 0 meV per atom
# Energy relative to the elements: 0.019 eV per atom
data_Tb12Dy2Y5
_chemical_formula_sum 'Tb12 Dy2 Y5'
_symmetry_space_group_name_H-M 'P -1'
_symmetry_Int_Tables_number 2
_cell_length_a 6.1681
_cell_length_b 9.4272
_cell_length_c 10.6893
_cell_angle_alpha 101.01
_cell_angle_beta 95.56
_cell_angle_gamma 90.08
loop_
_symmetry_equiv_pos_as_xyz
'x,y,z'
'-x,-y,-z'
loop_
_atom_site_label
_atom_site_type_symbol
_atom_site_fract_x
_atom_site_fract_y
_atom_site_fract_z
Tb1 Tb 0.0251 0.1052 0.1582
Tb2 Tb 0.1313 0.5261 0.7882
Tb3 Tb 0.1831 0.7370 0.1052
Tb4 Tb 0.2897 0.1588 0.7369
Tb5 Tb 0.3950 0.5794 0.3689
Tb6 Tb 0.4465 0.7891 0.6839
Dy1 Dy 0.0797 0.3163 0.4733
Y1 Y 0.2365 0.9472 0.4204
Y2 Y 0.3413 0.3691 0.0532
Y3 Y 0.5000 0.0000 0.0000

***

# 11
# TbDy3Y5 PBE relaxed
# DOS at the Fermi energy: 58.1 states/eV/cell
# Energy relative to the lowest polymorph listed for this composition: 163 meV per atom
# Energy relative to the elements: 0.220 eV per atom
data_TbDy3Y5
_chemical_formula_sum 'Tb4 Dy12 Y20'
_symmetry_space_group_name_H-M 'C 1 2/c 1'
_symmetry_Int_Tables_number 15
_cell_length_a 16.1253
_cell_length_b 6.6929
_cell_length_c 11.7409
_cell_angle_alpha 90.00
_cell_angle_beta 108.44
_cell_angle_gamma 90.00
loop_
_symmetry_equiv_pos_as_xyz
'x,y,z'
'-x,-y,-z'
'-x,y,-z+1/2'
'x,-y,z+1/2'
'x+1/2,y+1/2,z'
'-x+1/2,-y+1/2,-z'
'-x+1/2,y+1/2,-z+1/2'
'x+1/2,-y+1/2,z+1/2'
loop_
_atom_site_label
_atom_site_type_symbol
_atom_site_fract_x
_atom_site_fract_y
_atom_site_fract_z
Tb1 Tb 0.0000 0.1887 0.2500
Dy1 Dy 0.0000 0.5000 0.0000
Dy2 Dy 0.1076 0.0533 0.0124
Y1 Y 0.0000 0.3028 0.7500
Y2 Y 0.1830 0.4447 0.4483
Y3 Y 0.2166 0.1926 0.7657

***

# 12
# Tb13Dy3Y2 PBE relaxed
# DOS at the Fermi energy: 20.3 states/eV/cell
# Energy relative to the elements: 0.326 eV per atom
data_Tb13Dy3Y2
_chemical_formula_sum 'Tb13 Dy3 Y2'
_symmetry_space_group_name_H-M 'P 6/m m m'
_symmetry_Int_Tables_number 191
_symmetry_space_group_name_Hall '-P 6 2'
_cell_length_a 6.4760
_cell_length_b 6.4760
_cell_length_c 17.1112
_cell_angle_alpha 90.00
_cell_angle_beta 90.00
_cell_angle_gamma 120.00
loop_
_atom_site_label
_atom_site_type_symbol
_atom_site_fract_x
_atom_site_fract_y
_atom_site_fract_z
Tb1 Tb 0.0000 0.5000 0.0000
Tb2 Tb 0.0000 0.5000 0.3329
Tb3 Tb 0.3333 0.6667 0.1666
Dy1 Dy 0.0000 0.0000 0.1660
Dy2 Dy 0.0000 0.0000 0.5000
Y1 Y 0.3333 0.6667 0.5000